(1)
This record from the Alexandria database describes a geometry-optimized InGeC3 structure. The functional is GGA-PBE.

Unit cell a=4.036 b=4.036 c=4.036 alpha=90.00 beta=90.00 gamma=90.00
Atoms (fractional coordinates):
In (0.500, 0.500, 0.500)
C (0.000, 0.500, 0.000)
Ge (0.000, 0.000, 0.000)
C (0.000, 0.000, 0.500)
C (0.500, 0.000, 0.000)

symmetry = No. 221
Fermi-level density of states = 3.1 states/eV/f.u.
E = -22.69 eV for the cell shown
volume = 66 Å³/f.u.
formation energy = 2.468 eV/atom


(2)
This record from the Alexandria database describes a geometry-optimized MgInGe2C structure. The functional is GGA-PBE.

Unit cell a=4.392 b=4.920 c=4.392 alpha=90.00 beta=90.00 gamma=90.00
Atoms (fractional coordinates):
C (0.000, 0.000, 0.000)
Mg (0.500, 0.500, 0.500)
In (0.000, 0.500, 0.000)
Ge (0.000, 0.000, 0.500)
Ge (0.500, 0.000, 0.000)

symmetry = No. 123
Fermi-level density of states = 2.3 states/eV/f.u.
E = -18.65 eV for the cell shown
volume = 95 Å³/f.u.
formation energy = 0.829 eV/atom


- E of number 1 (InGeC3)?
  -22.69 eV for the cell shown